Below is a relaxed structure of Y2CrSe, with properties calculated at the PBE-GGA level.

Cell: 3.816 3.816 8.231 Å, 76.64 76.64 59.98°
Last column: magnetic moment on the atom in μB.
Fractional positions:
Y1 0.996 0.996 0.012  -0.04
Y2 0.504 0.504 0.488  -0.04
Se1 0.250 0.250 0.250  0.02
Cr1 0.750 0.750 0.750  3.47

Summary:
The density of states at the Fermi level comes out at 2.19 states/eV/f.u. Its uncorrected energy is -7.017 eV/atom. As for the formation energy from raw total energies: -0.5075 eV/atom.

Below is a relaxed structure of Ga3HgBr, with properties calculated at the PBE-GGA level.

Cell: 5.641 5.641 5.641 Å, 90.00 90.00 90.00°
Fractional positions:
Hg1 0.500 0.500 0.500
Ga1 0.000 0.500 0.000
Ga2 0.500 0.000 0.000
Ga3 0.000 0.000 0.500
Br1 0.000 0.000 0.000

Summary:
The density of states at the Fermi level comes out at 2.98 states/eV/f.u. Its uncorrected energy is -1.860 eV/atom. As for the formation energy from raw total energies: 0.3507 eV/atom.

Below is a relaxed structure of ZrV2Pt6, with properties calculated at the PBE-GGA level.

Cell: 3.894 6.644 6.644 Å, 119.58 90.00 90.00°
Fractional positions:
Pt1 0.500 0.587 0.971
Pt2 0.000 0.790 0.790
Pt3 0.000 0.908 0.250
Pt4 0.500 0.971 0.587
Pt5 0.500 0.513 0.513
Pt6 0.000 0.250 0.908
V1 0.000 0.306 0.571
V2 0.000 0.571 0.306
Zr1 0.500 0.103 0.103

Summary:
The density of states at the Fermi level comes out at 8.62 states/eV/f.u. Its uncorrected energy is -7.436 eV/atom. The energy of formation from the pure elements comes out at -0.43 eV/atom.

Below is a relaxed structure of AcNiP2, with properties calculated at the PBE-GGA level.

Cell: 4.206 4.390 4.390 Å, 90.00 90.00 90.00°
Fractional positions:
P1 0.000 0.000 0.500
P2 0.000 0.500 0.000
Ac1 0.500 0.000 0.000
Ni1 0.500 0.500 0.500

Summary:
The density of states at the Fermi level comes out at 3.14 states/eV/f.u. Its uncorrected energy is -5.314 eV/atom. The energy of formation from the pure elements comes out at -0.14 eV/atom.

Below is a relaxed structure of KAc4Rh3O12, with properties calculated at the PBE-GGA level.

Cell: 7.652 7.652 7.652 Å, 109.47 109.47 109.47°
Last column: magnetic moment on the atom in μB.
Fractional positions:
O1 0.664 0.150 0.814  0.21
O2 0.150 0.814 0.664  0.21
O3 0.850 0.186 0.336  0.21
O4 0.336 0.850 0.186  0.21
O5 0.336 0.150 0.486  0.21
O6 0.486 0.336 0.150  0.21
O7 0.814 0.664 0.150  0.21
O8 0.150 0.486 0.336  0.21
O9 0.514 0.664 0.850  0.21
O10 0.186 0.336 0.850  0.21
O11 0.664 0.850 0.514  0.21
O12 0.850 0.514 0.664  0.21
Ac1 0.000 0.500 0.000  0.06
Ac2 0.500 0.500 0.500  0.06
Ac3 0.500 0.000 0.000  0.06
Ac4 0.000 0.000 0.500  0.06
Rh1 0.000 0.500 0.500  1.54
Rh2 0.500 0.500 0.000  1.54
Rh3 0.500 0.000 0.500  1.54
K1 0.000 0.000 0.000  0.01

Summary:
The density of states at the Fermi level comes out at 5.45 states/eV/f.u. Its uncorrected energy is -6.900 eV/atom. As for the formation energy from raw total energies: -1.9459 eV/atom.

Below is a relaxed structure of NdSnBO5, with properties calculated at the PBE-GGA level.

Cell: 5.501 5.501 6.997 Å, 102.33 102.33 107.14°
Fractional positions:
B1 0.687 0.313 0.250
B2 0.313 0.687 0.750
Nd1 0.353 0.647 0.250
Nd2 0.647 0.353 0.750
O1 0.674 0.109 0.365
O2 0.326 0.891 0.635
O3 0.579 0.742 0.910
O4 0.906 0.094 0.750
O5 0.258 0.421 0.590
O6 0.742 0.579 0.410
O7 0.094 0.906 0.250
O8 0.891 0.326 0.135
O9 0.109 0.674 0.865
O10 0.421 0.258 0.090
Sn1 0.000 0.000 0.000
Sn2 0.000 0.000 0.500

Summary:
The density of states at the Fermi level comes out at 0.00 states/eV/f.u. Its uncorrected energy is -7.407 eV/atom. As for the formation energy from raw total energies: -2.3774 eV/atom.